1.
# CsSb3Ru

A geometry-optimized CsSb3Ru structure (PBE-GGA, Alexandria via LeMat-Bulk).

Results
Space group: Pm-3m, No. 221
Spin magnetization: 0.0 μB per cell
D(E_F): 4.86 states/eV/f.u.
Distance to the lowest polymorph of the same formula: 0 meV/atom
Energy: -4.261 eV per atom

Unit cell a=5.359 b=5.359 c=5.359 alpha=90.00 beta=90.00 gamma=90.00
Sites, in units of the cell vectors:
1 Sb 0.000 0.500 0.000
2 Sb 0.000 0.000 0.500
3 Sb 0.500 0.000 0.000
4 Ru 0.000 0.000 0.000
5 Cs 0.500 0.500 0.500



2.
# CsSb2Ru

A geometry-optimized CsSb2Ru structure (PBE-GGA, Alexandria via LeMat-Bulk).

Results
Space group: R-3m, No. 166
Spin magnetization: 0.0 μB per cell
D(E_F): 3.57 states/eV/f.u.
Distance to the lowest polymorph of the same formula: 0 meV/atom
Energy: -4.709 eV per atom

Unit cell a=4.316 b=4.316 c=8.137 alpha=74.62 beta=74.62 gamma=60.00
Sites, in units of the cell vectors:
1 Ru 0.000 0.000 0.000
2 Cs 0.500 0.500 0.500
3 Sb 0.711 0.711 0.866
4 Sb 0.289 0.289 0.134